No. 1
{"formula": "AlGaPt2", "functional": "PBE-GGA", "state": "optimized geometry", "formation_enthalpy_0k_mev_per_atom": -692.9, "e_tot_ev_per_atom": -5.406, "lattice": [[-2.155, -0.503, 1.771], [-0.456, -4.240, -1.758], [2.961, -1.622, 3.142]], "species": ["Ga", "Pt", "Pt", "Al"], "fractional_positions": [[0.500, 0.000, 0.000], [0.000, 0.000, 0.500], [0.000, 0.500, 0.000], [0.500, 0.500, 0.500]]}


No. 2
{"formula": "AlGa2Pt", "functional": "PBE-GGA", "state": "optimized geometry", "formation_enthalpy_0k_mev_per_atom": -243.5, "e_tot_ev_per_atom": -4.203, "lattice": [[8.163, 0.000, 0.000], [0.000, 8.163, 0.000], [4.082, 4.082, 2.407]], "species": ["Ga", "Ga", "Ga", "Ga", "Pt", "Pt", "Al", "Al"], "fractional_positions": [[0.702, 0.125, 0.250], [0.048, 0.625, 0.250], [0.375, 0.298, 0.750], [0.875, 0.952, 0.750], [0.000, 0.000, 0.000], [0.750, 0.250, 0.500], [0.500, 0.500, 0.000], [0.250, 0.750, 0.500]]}